Entry A
Material: LiAg3F4
Method: DFT, PBE
State: relaxed

```
data_LiAg3F4
_chemical_formula_sum 'Li2 Ag6 F8'
_cell_length_a 7.069
_cell_length_b 6.896
_cell_length_c 5.274
_cell_angle_alpha 90.00
_cell_angle_beta 90.00
_cell_angle_gamma 90.00
_space_group_name_H-M_alt 'P m n 21'
_space_group_IT_number 31
_space_group_name_Hall 'P 2ac -2'
loop_
_atom_site_label
_atom_site_type_symbol
_atom_site_fract_x
_atom_site_fract_y
_atom_site_fract_z
_atom_site_occupancy
Li1 Li 0.000 0.207 0.000 1
Ag1 Ag 0.000 0.844 0.581 1
Ag2 Ag 0.201 0.684 0.042 1
F1 F 0.000 0.175 0.642 1
F2 F 0.000 0.952 0.126 1
F3 F 0.224 0.351 0.064 1
```

Entry B
Material: LiAg3F4
Method: DFT, PBE
State: relaxed

```
data_LiAg3F4
_chemical_formula_sum 'Li1 Ag3 F4'
_cell_length_a 5.153
_cell_length_b 5.153
_cell_length_c 5.153
_cell_angle_alpha 90.00
_cell_angle_beta 90.00
_cell_angle_gamma 90.00
_space_group_name_H-M_alt 'P -4 3 m'
_space_group_IT_number 215
_space_group_name_Hall 'P -4 2 3'
loop_
_atom_site_label
_atom_site_type_symbol
_atom_site_fract_x
_atom_site_fract_y
_atom_site_fract_z
_atom_site_occupancy
Li1 Li 0.000 0.000 0.000 1
Ag1 Ag 0.000 0.500 0.500 1
F1 F 0.212 0.212 0.212 1
```

Which of them is the most stable? Correct choice: entry A.